Compound: SrTe2W
Source: Alexandria via LeMat-Bulk
Functional: PBE
Structure: optimized geometry

a b c (Å): 7.9357 7.9357 7.9357
angles (deg): 153.54 151.20 39.50
Element x y z (fractional)
Sr: 0.3018 0.8018 0.5000
W: 0.5442 0.5442 0.0000
Te: 0.9724 0.9724 0.0000
Te: 0.6816 0.1816 0.5000

Results
The calculation puts the total magnetization at 0.0 μB/f.u. The uncorrected formation energy comes out at -7.4 kJ per mole of atoms. As for the symmetry: No. 44. Its energy relative to the lowest polymorph listed for this composition is 0.126 eV per atom.


Compound: Sr2TeW
Source: Alexandria via LeMat-Bulk
Functional: PBE
Structure: optimized geometry

a b c (Å): 5.4149 5.4149 5.4149
angles (deg): 60.00 60.00 60.00
Site moments in Bohr magnetons follow the coordinates.
Element x y z (fractional)
Te: 0.5000 0.5000 0.5000  0.01
W: 0.7500 0.7500 0.7500  1.91
Sr: 0.0000 0.0000 0.0000  0.12
Sr: 0.2500 0.2500 0.2500  -0.02

Results
The calculation puts the total magnetization at 2.9 μB/f.u. The uncorrected formation energy comes out at 67.7 kJ per mole of atoms. As for the symmetry: No. 216.


Compound: SrTe3W
Source: Alexandria via LeMat-Bulk
Functional: PBE
Structure: optimized geometry

a b c (Å): 5.4306 5.4306 5.4306
angles (deg): 90.00 90.00 90.00
Site moments in Bohr magnetons follow the coordinates.
Element x y z (fractional)
Te: 0.0000 0.0000 0.5000  0.00
Te: 0.0000 0.5000 0.0000  0.01
Sr: 0.5000 0.5000 0.5000  0.01
W: 0.0000 0.0000 0.0000  0.60
Te: 0.5000 0.0000 0.0000  -0.01

Results
The calculation puts the total magnetization at 0.8 μB/f.u. The uncorrected formation energy comes out at -7.7 kJ per mole of atoms. As for the symmetry: No. 221. Its energy relative to the lowest polymorph listed for this composition is 0.000 eV per atom.